A plane-wave DFT calculation with PBE-GGA was carried out for an optimized crystal structure of BaSrBe2.

Space group: P2/m
Formation enthalpy at 0 K in eV/atom: 0.820
E above lowest polymorph in kcal/mol of atoms: 10.94
DFT total energy in eV per atom: -1.94

Unit cell a=4.5943 b=8.0681 c=6.5854 alpha=35.51 beta=90.00 gamma=90.00
Atoms (fractional coordinates):
Sr: 0.5000 0.5000 0.5000
Be: 0.5000 0.5000 0.0000
Be: 0.0000 0.0000 0.0000
Ba: 0.0000 0.0000 0.5000

---

A plane-wave DFT calculation with PBE-GGA was carried out for an optimized crystal structure of BaSrBe2.

Space group: Fm-3m
Formation enthalpy at 0 K in eV/atom: 0.589
E above lowest polymorph in kcal/mol of atoms: 5.61
DFT total energy in eV per atom: -2.18

Unit cell a=5.4585 b=5.4585 c=5.4585 alpha=60.00 beta=60.00 gamma=60.00
Atoms (fractional coordinates):
Ba: 0.5000 0.5000 0.5000
Be: 0.7500 0.7500 0.7500
Be: 0.2500 0.2500 0.2500
Sr: 0.0000 0.0000 0.0000

---

A plane-wave DFT calculation with PBE-GGA was carried out for an optimized crystal structure of BaSrBe2.

Space group: P4mm
Formation enthalpy at 0 K in eV/atom: 0.630
E above lowest polymorph in kcal/mol of atoms: 6.56
DFT total energy in eV per atom: -2.13

Unit cell a=3.4434 b=3.4434 c=9.2573 alpha=90.00 beta=90.00 gamma=90.00
Atoms (fractional coordinates):
Be: 0.5000 0.5000 0.1718
Be: 0.0000 0.0000 0.0869
Ba: 0.5000 0.5000 0.8285
Sr: 0.0000 0.0000 0.4129

---

A plane-wave DFT calculation with PBE-GGA was carried out for an optimized crystal structure of BaSrBe4.

Space group: F-43m
Formation enthalpy at 0 K in eV/atom: 0.599
DFT total energy in eV per atom: -2.49

Unit cell a=5.6261 b=5.6261 c=5.6261 alpha=60.00 beta=60.00 gamma=60.00
Atoms (fractional coordinates):
Ba: 0.0000 0.0000 0.0000
Be: 0.4019 0.7943 0.4019
Be: 0.4019 0.4019 0.7943
Be: 0.4019 0.4019 0.4019
Be: 0.7943 0.4019 0.4019
Sr: 0.7500 0.7500 0.7500

---

A plane-wave DFT calculation with PBE-GGA was carried out for an optimized crystal structure of Ba3SrBe.

Space group: Pm-3m
Formation enthalpy at 0 K in eV/atom: 1.202
E above lowest polymorph in kcal/mol of atoms: 20.67
DFT total energy in eV per atom: -1.03

Unit cell a=6.8006 b=6.8006 c=6.8006 alpha=90.00 beta=90.00 gamma=90.00
Atoms (fractional coordinates):
Ba: 0.5000 0.0000 0.0000
Ba: 0.0000 0.0000 0.5000
Ba: 0.0000 0.5000 0.0000
Be: 0.5000 0.5000 0.5000
Sr: 0.0000 0.0000 0.0000

---

A plane-wave DFT calculation with PBE-GGA was carried out for an optimized crystal structure of BaSr2Be2.

Space group: P4/mbm
Formation enthalpy at 0 K in eV/atom: 0.521
E above lowest polymorph in kcal/mol of atoms: 0.00
DFT total energy in eV per atom: -2.03

Unit cell a=9.1335 b=9.1335 c=3.6994 alpha=90.00 beta=90.00 gamma=90.00
Atoms (fractional coordinates):
Be: 0.6606 0.8394 0.5000
Be: 0.3394 0.1606 0.5000
Be: 0.8394 0.3394 0.5000
Be: 0.1606 0.6606 0.5000
Sr: 0.8660 0.6340 0.0000
Sr: 0.6340 0.1340 0.0000
Sr: 0.3660 0.8660 0.0000
Sr: 0.1340 0.3660 0.0000
Ba: 0.5000 0.5000 0.0000
Ba: 0.0000 0.0000 0.0000

---

A plane-wave DFT calculation with PBE-GGA was carried out for an optimized crystal structure of BaSr4Be.

Space group: F-43m
Formation enthalpy at 0 K in eV/atom: 0.658
DFT total energy in eV per atom: -1.40

Unit cell a=7.6566 b=7.6566 c=7.6566 alpha=60.00 beta=60.00 gamma=60.00
Atoms (fractional coordinates):
Sr: 0.8763 0.3746 0.3746
Sr: 0.3746 0.3746 0.3746
Sr: 0.3746 0.8763 0.3746
Sr: 0.3746 0.3746 0.8763
Be: 0.0000 0.0000 0.0000
Ba: 0.7500 0.7500 0.7500

---

A plane-wave DFT calculation with PBE-GGA was carried out for an optimized crystal structure of BaSrBeTe2.

Space group: P4/mmm
DFT total energy in eV per atom: -2.33
Uncorrected formation energy in eV per atom: 0.39

Unit cell a=6.1114 b=6.8016 c=6.1114 alpha=90.00 beta=90.00 gamma=90.00
Atoms (fractional coordinates):
Te: 0.5000 0.0000 0.0000
Te: 0.0000 0.0000 0.5000
Sr: 0.0000 0.0000 0.0000
Ba: 0.0000 0.5000 0.0000
Be: 0.5000 0.5000 0.5000

---

A plane-wave DFT calculation with PBE-GGA was carried out for an optimized crystal structure of BaTaBe3.

Space group: Pm-3m
Formation enthalpy at 0 K in eV/atom: 2.558
E above lowest polymorph in kcal/mol of atoms: 36.10
DFT total energy in eV per atom: -2.43

Unit cell a=4.6113 b=4.6113 c=4.6113 alpha=90.00 beta=90.00 gamma=90.00
Atoms (fractional coordinates):
Ba: 0.0000 0.0000 0.0000
Be: 0.0000 0.0000 0.5000
Be: 0.5000 0.0000 0.0000
Be: 0.0000 0.5000 0.0000
Ta: 0.5000 0.5000 0.5000

---

A plane-wave DFT calculation with PBE-GGA was carried out for an optimized crystal structure of Ba2TaBe2.

Space group: P4/mbm
Formation enthalpy at 0 K in eV/atom: 1.333
E above lowest polymorph in kcal/mol of atoms: 7.65
DFT total energy in eV per atom: -3.30

Unit cell a=9.1295 b=9.1295 c=3.1648 alpha=90.00 beta=90.00 gamma=90.00
Atoms (fractional coordinates):
Ta: 0.0000 0.0000 0.0000
Ta: 0.5000 0.5000 0.0000
Ba: 0.8037 0.6963 0.0000
Ba: 0.3037 0.8037 0.0000
Ba: 0.6963 0.1963 0.0000
Ba: 0.1963 0.3037 0.0000
Be: 0.4145 0.0855 0.5000
Be: 0.0855 0.5855 0.5000
Be: 0.5855 0.9145 0.5000
Be: 0.9145 0.4145 0.5000

---

A plane-wave DFT calculation with PBE-GGA was carried out for an optimized crystal structure of Ba2TaBe.

Space group: F-43m
Formation enthalpy at 0 K in eV/atom: 1.267
DFT total energy in eV per atom: -3.59

Unit cell a=5.4550 b=5.4550 c=5.4550 alpha=60.00 beta=60.00 gamma=60.00
Atoms (fractional coordinates):
Ba: 0.2500 0.2500 0.2500
Ba: 0.0000 0.0000 0.0000
Ta: 0.7500 0.7500 0.7500
Be: 0.5000 0.5000 0.5000

---

A plane-wave DFT calculation with PBE-GGA was carried out for an optimized crystal structure of Ba2TaBe.

Space group: R-3m
Formation enthalpy at 0 K in eV/atom: 1.280
DFT total energy in eV per atom: -3.58

Unit cell a=11.0309 b=11.0309 c=11.0309 alpha=18.31 beta=18.31 gamma=18.31
Atoms (fractional coordinates):
Ta: 0.7500 0.7500 0.7500
Be: 0.2500 0.2500 0.2500
Ba: 0.9966 0.9966 0.9966
Ba: 0.5034 0.5034 0.5034

---

A plane-wave DFT calculation with PBE-GGA was carried out for an optimized crystal structure of Ba2TaBe.

Space group: C2/m
Formation enthalpy at 0 K in eV/atom: 0.703
DFT total energy in eV per atom: -4.15

Unit cell a=9.7466 b=9.7466 c=3.6822 alpha=81.92 beta=81.92 gamma=21.08
Atoms (fractional coordinates):
Be: 0.2500 0.2500 0.2500
Ba: 0.6029 0.6029 0.3400
Ba: 0.8971 0.8971 0.1600
Ta: 0.7500 0.7500 0.7500

---

A plane-wave DFT calculation with PBE-GGA was carried out for an optimized crystal structure of Ba2TaBe.

Space group: Imm2
Formation enthalpy at 0 K in eV/atom: 0.828
DFT total energy in eV per atom: -4.03

Unit cell a=6.8790 b=6.8790 c=6.8790 alpha=150.93 beta=131.19 gamma=57.82
Atoms (fractional coordinates):
Ta: 0.3137 0.8137 0.5000
Ba: 0.7156 0.2156 0.5000
Ba: 0.0130 0.0130 0.0000
Be: 0.4577 0.4577 0.0000

---

A plane-wave DFT calculation with PBE-GGA was carried out for an optimized crystal structure of Ba2TaBe.

Space group: P4/mmm
Formation enthalpy at 0 K in eV/atom: 1.313
DFT total energy in eV per atom: -3.54

Unit cell a=4.7848 b=4.7846 c=4.9678 alpha=90.00 beta=90.00 gamma=90.00
Atoms (fractional coordinates):
Ba: 0.0000 0.0000 0.0000
Ba: 0.5000 0.5000 0.0000
Ta: 0.0000 0.5000 0.5000
Be: 0.5000 0.0000 0.5000

---

A plane-wave DFT calculation with PBE-GGA was carried out for an optimized crystal structure of Ba2TaBe.

Space group: I-42d
Formation enthalpy at 0 K in eV/atom: 1.404
DFT total energy in eV per atom: -3.45

Unit cell a=8.9735 b=8.9735 c=7.0643 alpha=50.57 beta=50.57 gamma=90.00
Atoms (fractional coordinates):
Be: 0.5000 0.5000 0.0000
Be: 0.2500 0.7500 0.5000
Ba: 0.1645 0.6250 0.2500
Ba: 0.8750 0.8355 0.7500
Ba: 0.5855 0.1250 0.2500
Ba: 0.3750 0.4145 0.7500
Ta: 0.7500 0.2500 0.5000
Ta: 0.0000 0.0000 0.0000

---

A plane-wave DFT calculation with PBE-GGA was carried out for an optimized crystal structure of Ba2TaBe2.

Space group: I4/mmm
Formation enthalpy at 0 K in eV/atom: 1.001
E above lowest polymorph in kcal/mol of atoms: 0.00
DFT total energy in eV per atom: -3.63

Unit cell a=3.1734 b=3.1734 c=11.9525 alpha=82.37 beta=82.37 gamma=90.00
Atoms (fractional coordinates):
Ba: 0.6182 0.6182 0.7635
Ba: 0.3818 0.3818 0.2365
Be: 0.2500 0.7500 0.5000
Be: 0.7500 0.2500 0.5000
Ta: 0.0000 0.0000 0.0000

---

A plane-wave DFT calculation with PBE-GGA was carried out for an optimized crystal structure of Ba2TaBe.

Space group: P4/mmm
Formation enthalpy at 0 K in eV/atom: 1.123
DFT total energy in eV per atom: -3.73

Unit cell a=3.3990 b=3.4005 c=9.8962 alpha=90.00 beta=90.00 gamma=90.00
Atoms (fractional coordinates):
Ta: 0.5000 0.5000 0.7500
Ba: 0.0000 0.0000 0.4815
Ba: 0.0000 0.0000 0.0185
Be: 0.5000 0.5000 0.2500

---

A plane-wave DFT calculation with PBE-GGA was carried out for an optimized crystal structure of Ba2TaBe.

Space group: P4/mmm
Formation enthalpy at 0 K in eV/atom: 1.200
DFT total energy in eV per atom: -3.66

Unit cell a=5.8919 b=5.8913 c=3.4643 alpha=90.03 beta=90.03 gamma=90.03
Atoms (fractional coordinates):
Be: 0.5000 0.0000 0.5000
Ba: 0.0000 0.0000 0.0000
Ba: 0.5000 0.5000 0.0000
Ta: 0.0000 0.5000 0.5000

---

A plane-wave DFT calculation with PBE-GGA was carried out for an optimized crystal structure of Ba4TaBe.

Space group: F-43m
Formation enthalpy at 0 K in eV/atom: 1.462
DFT total energy in eV per atom: -2.42

Unit cell a=7.0257 b=7.0257 c=7.0257 alpha=60.00 beta=60.00 gamma=60.00
Atoms (fractional coordinates):
Be: 0.7500 0.7500 0.7500
Ba: 0.3748 0.3748 0.3748
Ba: 0.8755 0.3748 0.3748
Ba: 0.3748 0.3748 0.8755
Ba: 0.3748 0.8755 0.3748
Ta: 0.0000 0.0000 0.0000

---

A plane-wave DFT calculation with PBE-GGA was carried out for an optimized crystal structure of Ba2TaBe.

Space group: R3m
Formation enthalpy at 0 K in eV/atom: 0.700
DFT total energy in eV per atom: -4.16

Unit cell a=9.2125 b=9.2125 c=9.2125 alpha=27.09 beta=27.09 gamma=27.09
Atoms (fractional coordinates):
Ba: 0.2133 0.2133 0.2133
Ba: 0.0368 0.0368 0.0368
Ta: 0.7918 0.7918 0.7918
Be: 0.4581 0.4581 0.4581

---

A plane-wave DFT calculation with PBE-GGA was carried out for an optimized crystal structure of Ba2TaBe.

Space group: P4mm
Formation enthalpy at 0 K in eV/atom: 0.646
DFT total energy in eV per atom: -4.21

Unit cell a=3.5330 b=3.5330 c=9.6095 alpha=90.00 beta=90.00 gamma=90.00
Atoms (fractional coordinates):
Ba: 0.0000 0.0000 0.9236
Ba: 0.5000 0.5000 0.3328
Ta: 0.5000 0.5000 0.6536
Be: 0.0000 0.0000 0.5900

---

A plane-wave DFT calculation with PBE-GGA was carried out for an optimized crystal structure of BaTaBe3.

Space group: Pm-3m
Formation enthalpy at 0 K in eV/atom: 0.992
E above lowest polymorph in kcal/mol of atoms: 0.00
DFT total energy in eV per atom: -4.00

Unit cell a=4.8208 b=4.8208 c=4.8208 alpha=90.00 beta=90.00 gamma=90.00
Atoms (fractional coordinates):
Ta: 0.0000 0.0000 0.0000
Ba: 0.5000 0.5000 0.5000
Be: 0.0000 0.0000 0.5000
Be: 0.5000 0.0000 0.0000
Be: 0.0000 0.5000 0.0000

---

A plane-wave DFT calculation with PBE-GGA was carried out for an optimized crystal structure of BaTa2BeTe.

Space group: P4/mmm
DFT total energy in eV per atom: -3.47
Uncorrected formation energy in eV per atom: 3.03

Unit cell a=5.2435 b=6.0765 c=5.2435 alpha=90.00 beta=90.00 gamma=90.00
Atoms (fractional coordinates):
Ta: 0.5000 0.0000 0.0000
Ta: 0.0000 0.0000 0.5000
Be: 0.5000 0.5000 0.5000
Ba: 0.0000 0.0000 0.0000
Te: 0.0000 0.5000 0.0000

---

A plane-wave DFT calculation with PBE-GGA was carried out for an optimized crystal structure of BaTaBe2W.

Space group: P4/mmm
Formation enthalpy at 0 K in eV/atom: 1.258
DFT total energy in eV per atom: -5.58

Unit cell a=4.9416 b=4.8318 c=4.9416 alpha=90.00 beta=90.00 gamma=90.00
Atoms (fractional coordinates):
Ta: 0.0000 0.0000 0.0000
W: 0.0000 0.5000 0.0000
Be: 0.5000 0.0000 0.0000
Be: 0.0000 0.0000 0.5000
Ba: 0.5000 0.5000 0.5000

---

A plane-wave DFT calculation with PBE-GGA was carried out for an optimized crystal structure of BaTaBeZn2.

Space group: P4/mmm
Formation enthalpy at 0 K in eV/atom: 1.134
DFT total energy in eV per atom: -2.88

Unit cell a=4.4565 b=5.3810 c=4.4565 alpha=90.00 beta=90.00 gamma=90.00
Atoms (fractional coordinates):
Be: 0.0000 0.0000 0.0000
Zn: 0.0000 0.0000 0.5000
Zn: 0.5000 0.0000 0.0000
Ba: 0.0000 0.5000 0.0000
Ta: 0.5000 0.5000 0.5000

---

A plane-wave DFT calculation with PBE-GGA was carried out for an optimized crystal structure of BaBe2Tc.

Space group: F-43m
Formation enthalpy at 0 K in eV/atom: 1.292
E above lowest polymorph in kcal/mol of atoms: 23.43
DFT total energy in eV per atom: -3.64

Unit cell a=4.6464 b=4.6464 c=4.6464 alpha=60.00 beta=60.00 gamma=60.00
Atoms (fractional coordinates):
Be: 0.7500 0.7500 0.7500
Be: 0.0000 0.0000 0.0000
Tc: 0.2500 0.2500 0.2500
Ba: 0.5000 0.5000 0.5000

---

A plane-wave DFT calculation with PBE-GGA was carried out for an optimized crystal structure of BaBe2Tc.

Space group: I4/mmm
Formation enthalpy at 0 K in eV/atom: 1.055
E above lowest polymorph in kcal/mol of atoms: 17.97
DFT total energy in eV per atom: -3.88

Unit cell a=4.9318 b=4.9318 c=4.9318 alpha=130.42 beta=130.42 gamma=72.73
Atoms (fractional coordinates):
Tc: 0.2500 0.7500 0.5000
Be: 0.5000 0.5000 0.0000
Be: 0.0000 0.0000 0.0000
Ba: 0.7500 0.2500 0.5000

---

A plane-wave DFT calculation with PBE-GGA was carried out for an optimized crystal structure of BaBe2Tc.

Space group: Imm2
Formation enthalpy at 0 K in eV/atom: 0.837
E above lowest polymorph in kcal/mol of atoms: 12.92
DFT total energy in eV per atom: -4.10

Unit cell a=5.2133 b=5.2133 c=5.2133 alpha=137.80 beta=111.61 gamma=83.74
Atoms (fractional coordinates):
Tc: 0.6032 0.6032 0.0000
Be: 0.8878 0.8878 0.0000
Be: 0.7691 0.2691 0.5000
Ba: 0.2400 0.7400 0.5000